1.
A plane-wave DFT calculation with PBE was carried out for a geometry-optimized Sm2Er5 structure.

The structure in POSCAR format:
```
Sm2Er5
1.0
5.586 -2.504 0.000
5.586 2.504 0.000
-1.127 0.000 7.840
Sm Er
2 5
Cartesian
0.557 0.000 1.689 Sm
9.488 0.000 6.150 Sm
1.665 0.000 5.041 Er
3.906 0.000 0.561 Er
5.022 0.000 3.920 Er
6.138 0.000 7.279 Er
8.380 0.000 2.799 Er
```

- Raw total energy: -32.11 eV/cell
- Symmetry: C2/m
- Energy of formation from the pure elements: 0.021 eV/atom
- Theoretical density: 8.6 g/cm3

=====

2.
A plane-wave DFT calculation with PBE was carried out for a geometry-optimized TbHfTl2 structure.

The structure in POSCAR format:
```
TbHfTl2
1.0
3.347 0.000 0.000
0.000 3.347 0.000
0.000 0.000 8.784
Tb Hf Tl
1 1 2
Cartesian
0.000 0.000 0.000 Tb
0.000 0.000 4.392 Hf
1.673 1.673 2.298 Tl
1.673 1.673 6.486 Tl
```

- Raw total energy: -19.60 eV/cell
- Symmetry: P4/mmm
- Energy of formation from the pure elements: -0.071 eV/atom
- Theoretical density: 12.6 g/cm3

=====

3.
A plane-wave DFT calculation with PBE was carried out for a geometry-optimized In2AgW structure.

The structure in POSCAR format:
```
In2AgW
1.0
0.000 3.390 3.390
3.390 0.000 3.390
3.390 3.390 0.000
In Ag W
2 1 1
Cartesian
1.695 1.695 1.695 In
5.085 5.085 5.085 In
0.000 0.000 0.000 Ag
3.390 3.390 3.390 W
```

- Raw total energy: -18.49 eV/cell
- Symmetry: Fm-3m
- Energy of formation from the pure elements: 0.699 eV/atom
- Theoretical density: 11.1 g/cm3

=====

4.
A plane-wave DFT calculation with PBE was carried out for a geometry-optimized TaAsAu4 structure.

The structure in POSCAR format:
```
TaAsAu4
1.0
0.000 3.866 3.866
3.866 0.000 3.866
3.866 3.866 0.000
Ta As Au
1 1 4
Cartesian
0.000 0.000 0.000 Ta
5.799 5.799 5.799 As
2.899 2.899 2.899 Au
4.833 4.833 2.899 Au
4.833 2.899 4.833 Au
2.899 4.833 4.833 Au
```

- Raw total energy: -26.76 eV/cell
- Symmetry: F-43m
- Energy of formation from the pure elements: 0.475 eV/atom
- Theoretical density: 15.0 g/cm3